# RbMgN

A geometry-optimized RbMgN structure (PBE, Alexandria via LeMat-Bulk).

Symmetry: Pnma (62)
Energy (eV/atom): -3.717
Crystal system: orthorhombic

Cell lengths 3.923, 6.953, 10.788 Å; angles 90.00, 90.00, 90.00 degrees
Sites, in units of the cell vectors:
N 0.250 0.170 0.940
N 0.750 0.670 0.560
N 0.750 0.830 0.060
N 0.250 0.330 0.440
Mg 0.750 0.103 0.959
Mg 0.250 0.897 0.041
Mg 0.750 0.397 0.459
Mg 0.250 0.603 0.541
Rb 0.750 0.952 0.338
Rb 0.750 0.548 0.838
Rb 0.250 0.048 0.662
Rb 0.250 0.452 0.162

# Ce5Tl3In

A geometry-optimized Ce5Tl3In structure (PBE, Alexandria via LeMat-Bulk).

Symmetry: P6_3/mcm (193)
Crystal system: hexagonal
Energy of formation (eV per atom): -0.224

Cell lengths 6.591, 9.610, 9.610 Å; angles 120.00, 90.00, 90.00 degrees
Site moments in Bohr magnetons follow the coordinates.
Sites, in units of the cell vectors:
In 0.500 0.000 0.000  0.02
In 0.000 0.000 0.000  0.02
Ce 0.250 0.298 0.298  0.85
Ce 0.000 0.333 0.667  1.09
Ce 0.250 0.702 0.000  0.85
Ce 0.750 0.298 0.000  0.85
Ce 0.500 0.667 0.333  1.09
Ce 0.750 0.702 0.702  0.85
Ce 0.000 0.667 0.333  1.09
Ce 0.500 0.333 0.667  1.09
Ce 0.250 0.000 0.702  0.85
Ce 0.750 0.000 0.298  0.85
Tl 0.750 0.364 0.364  -0.01
Tl 0.750 0.636 0.000  -0.01
Tl 0.750 0.000 0.636  -0.01
Tl 0.250 0.000 0.364  -0.01
Tl 0.250 0.364 0.000  -0.01
Tl 0.250 0.636 0.636  -0.01

# KB2Au

A geometry-optimized KB2Au structure (PBE, Alexandria via LeMat-Bulk).

Symmetry: Fm-3m (225)
Crystal system: cubic
Energy of formation (eV per atom): 1.616
Polymorph energy (0 for the lowest one) (eV/atom): 0.827

Cell lengths 4.411, 4.411, 4.411 Å; angles 60.00, 60.00, 60.00 degrees
Sites, in units of the cell vectors:
Au 0.500 0.500 0.500
B 0.250 0.250 0.250
B 0.750 0.750 0.750
K 0.000 0.000 0.000

# CeInHg6

A geometry-optimized CeInHg6 structure (PBE, Alexandria via LeMat-Bulk).

Symmetry: P-1 (2)
Crystal system: triclinic
Energy of formation (eV per atom): -0.143
Polymorph energy (0 for the lowest one) (eV/atom): 0.000

Cell lengths 5.112, 5.113, 9.578 Å; angles 89.77, 74.03, 60.79 degrees
Site moments in Bohr magnetons follow the coordinates.
Sites, in units of the cell vectors:
Ce 0.000 0.500 0.500  0.89
Hg 0.527 0.237 0.711  0.00
Hg 0.767 0.117 0.349  0.00
Hg 0.233 0.883 0.651  0.00
Hg 0.473 0.763 0.289  0.00
Hg 0.246 0.380 0.129  0.00
Hg 0.754 0.620 0.871  0.00
In 0.000 0.000 0.000  0.00

no.,spin magnetization (Bohr magnetons per cell),density of states at the Fermi level (states/eV/f.u.)
1,0.00,2.4
2,12.74,23.8
3,0.00,1.3
4,0.99,9.1